No. 1
YCdB2 | GGA-PBE | optimized geometry

Cell and atoms, written as POSCAR:
```
YCdB2
1.0
-3.495 -1.168 -2.067
2.357 -1.263 -3.272
-0.052 -8.184 0.394
Y B Cd
2 4 2
Direct
0.500 0.500 0.000
0.250 0.750 0.500
0.875 0.125 0.250
0.875 0.625 0.250
0.375 0.125 0.750
0.875 0.125 0.750
0.000 0.000 0.000
0.750 0.250 0.500
```

* symmetry: I4_1/amd, No. 141
* VASP energy: -4.5144 eV/atom



No. 2
YCdB | GGA-PBE | optimized geometry

Cell and atoms, written as POSCAR:
```
YCdB
1.0
-1.348 5.085 3.206
-0.709 -3.097 2.250
5.296 -3.023 0.875
Y B Cd
2 2 2
Direct
0.618 0.628 0.870
0.065 0.075 0.423
0.953 0.270 0.921
0.116 0.433 0.758
0.269 0.852 0.074
0.638 0.352 0.443
```

* symmetry: Imm2, No. 44
* VASP energy: -4.7585 eV/atom



No. 3
Y2Cd4B | GGA-PBE | optimized geometry

Cell and atoms, written as POSCAR:
```
Y2Cd4B
1.0
-2.543 -0.359 -3.637
2.899 -2.898 -1.740
-4.071 -8.043 0.916
Y B Cd
2 1 4
Direct
0.680 0.680 0.640
0.320 0.320 0.360
0.000 0.000 0.000
0.858 0.858 0.284
0.142 0.142 0.716
0.000 0.500 0.000
0.500 0.000 0.000
```

* symmetry: I4/mmm, No. 139
* VASP energy: -3.1470 eV/atom